# NdNi2Sb2

A geometry-optimized NdNi2Sb2 structure (GGA-PBEsol, the Alexandria database).

Fermi-level density of states (states/eV/atom): 0.4255
Total magnetic moment (Bohr magnetons per cell): 0.00
V (Å³/f.u.): 96
Formation energy without anion corrections (eV per atom): -0.6828
Density (g/cm³): 8.7

a = 4.4273 Å, b = 4.4273 Å, c = 9.8151 Å
α = 90.00°, β = 90.00°, γ = 90.00°
Space group P4/nmm (No. 129, origin choice 2)
One atom of each set of equivalent atoms:
Nd (0.2500, 0.2500, 0.2393) (multiplicity 2)
Ni (0.2500, 0.2500, 0.6233) (multiplicity 2)
Ni (0.2500, 0.7500, 0.0000) (multiplicity 2)
Sb (0.2500, 0.2500, 0.8749) (multiplicity 2)
Sb (0.2500, 0.7500, 0.5000) (multiplicity 2)